## w
Computed, not measured: crystalline InAgHg3 at its relaxed geometry at the PBE-GGA level of DFT.

abc: 5.4073 5.4073 5.4073
angles: 90.00 90.00 90.00
Element x y z (fractional)
Ag  0.0000  0.0000  0.0000
Hg  0.0000  0.5000  0.0000
Hg  0.5000  0.0000  0.0000
In  0.5000  0.5000  0.5000
Hg  0.0000  0.0000  0.5000

Values from the calculation:
D(E_F) = 2.37 states/eV/cell
Crystal system = cubic
Magnetic moment = 0.000 μB/atom
ρ = 8659 kg/m³


## x
Computed, not measured: crystalline InAgHg3 at its relaxed geometry at the PBE-GGA level of DFT.

abc: 4.5031 6.2462 9.1860
angles: 90.00 104.19 90.00
Element x y z (fractional)
Hg  0.1048  0.8644  0.2096
Hg  0.4902  0.8150  0.9805
Hg  0.5098  0.3150  0.0195
Hg  0.8952  0.3644  0.7904
Ag  0.6759  0.1051  0.3518
Hg  0.7155  0.6256  0.4310
In  0.8734  0.8841  0.7468
Hg  0.2845  0.1256  0.5690
Ag  0.3241  0.6051  0.6482
In  0.1266  0.3841  0.2532

Values from the calculation:
D(E_F) = 2.95 states/eV/cell
Crystal system = orthorhombic
Magnetic moment = 0.000 μB/atom
ρ = 10931 kg/m³


Most favorable first, least favorable last: x, w


## w
Computed, not measured: crystalline In6Ag12Hg at its relaxed geometry at the PBE-GGA level of DFT.

abc: 7.4811 7.4811 7.4811
angles: 101.11 101.11 101.11
Element x y z (fractional)
In  0.8289  0.5604  0.8232
Ag  0.2591  0.9979  0.7427
In  0.1711  0.4396  0.1768
In  0.1768  0.1711  0.4396
Ag  0.1804  0.5923  0.5974
In  0.8232  0.8289  0.5604
In  0.5604  0.8232  0.8289
Ag  0.5923  0.5974  0.1804
Ag  0.4026  0.8196  0.4077
Ag  0.7427  0.2591  0.9979
Ag  0.7409  0.0021  0.2573
Ag  0.2573  0.7409  0.0021
Ag  0.9979  0.7427  0.2591
Ag  0.0021  0.2573  0.7409
In  0.4396  0.1768  0.1711
Ag  0.4077  0.4026  0.8196
Hg  0.0000  0.0000  0.0000
Ag  0.8196  0.4077  0.4026
Ag  0.5974  0.1804  0.5923

Values from the calculation:
D(E_F) = 6.40 states/eV/cell
Crystal system = trigonal
Magnetic moment = 0.000 μB/atom
ρ = 9263 kg/m³


## x
Computed, not measured: crystalline In6Ag12Hg at its relaxed geometry at the PBE-GGA level of DFT.

abc: 7.7821 7.7821 7.7821
angles: 106.33 106.33 106.33
Element x y z (fractional)
Ag  0.8411  0.2715  0.1468
Ag  0.2715  0.1468  0.8411
Ag  0.5871  0.4750  0.1866
In  0.7986  0.5237  0.9145
Ag  0.4129  0.5250  0.8134
Ag  0.7285  0.8532  0.1589
Ag  0.1866  0.5871  0.4750
Ag  0.1589  0.7285  0.8532
Ag  0.1468  0.8411  0.2715
In  0.0855  0.2014  0.4763
Ag  0.8532  0.1589  0.7285
In  0.5237  0.9145  0.7986
In  0.9145  0.7986  0.5237
Ag  0.8134  0.4129  0.5250
In  0.4763  0.0855  0.2014
In  0.2014  0.4763  0.0855
Ag  0.4750  0.1866  0.5871
Hg  0.0000  0.0000  0.0000
Ag  0.5250  0.8134  0.4129

Values from the calculation:
D(E_F) = 8.22 states/eV/cell
Crystal system = trigonal
Magnetic moment = 0.000 μB/atom
ρ = 9079 kg/m³


Most favorable first, least favorable last: x, w


## w
Computed, not measured: crystalline In3AgHg at its relaxed geometry at the PBE-GGA level of DFT.

abc: 5.9270 9.9893 9.9893
angles: 58.50 95.71 95.71
Element x y z (fractional)
Hg  0.1745  0.3846  0.0444
In  0.3766  0.7375  0.9730
In  0.6234  0.2625  0.0270
In  0.4790  0.5945  0.7153
In  0.5243  0.7952  0.2973
Ag  0.7500  0.9969  0.0031
Ag  0.7500  0.4916  0.5084
In  0.4757  0.2048  0.7027
In  0.1234  0.0270  0.2625
In  0.8766  0.9730  0.7375
In  0.5210  0.4055  0.2847
Ag  0.2500  0.5084  0.4916
In  0.9757  0.7027  0.2048
In  0.9790  0.7153  0.5945
Hg  0.8255  0.6154  0.9556
In  0.0243  0.2973  0.7952
Ag  0.2500  0.0031  0.9969
In  0.0210  0.2847  0.4055
Hg  0.6745  0.0444  0.3846
Hg  0.3255  0.9556  0.6154

Values from the calculation:
D(E_F) = 7.30 states/eV/cell
Crystal system = monoclinic
Magnetic moment = 0.000 μB/atom
ρ = 8656 kg/m³


## x
Computed, not measured: crystalline In3AgHg at its relaxed geometry at the PBE-GGA level of DFT.

abc: 5.3905 5.3905 5.3905
angles: 90.00 90.00 90.00
Element x y z (fractional)
Ag  0.0000  0.0000  0.0000
Hg  0.5000  0.5000  0.5000
In  0.5000  0.0000  0.0000
In  0.0000  0.0000  0.5000
In  0.0000  0.5000  0.0000

Values from the calculation:
D(E_F) = 3.66 states/eV/cell
Crystal system = cubic
Magnetic moment = 0.000 μB/atom
ρ = 6922 kg/m³


Most favorable first, least favorable last: w, x


## w
Computed, not measured: crystalline InAg4Hg at its relaxed geometry at the PBE-GGA level of DFT.

abc: 5.3205 4.9134 9.7824
angles: 104.26 106.12 90.19
Element x y z (fractional)
In  0.1866  0.2496  0.9990
Ag  0.9665  0.9129  0.3237
In  0.8134  0.7504  0.0010
Ag  0.5909  0.1647  0.8317
Ag  0.2432  0.6655  0.8324
Hg  0.5000  0.0000  0.5000
Ag  0.7568  0.3345  0.1676
Ag  0.6450  0.5878  0.6771
Ag  0.4091  0.8353  0.1683
Hg  0.0000  0.5000  0.5000
Ag  0.0335  0.0871  0.6763
Ag  0.3550  0.4122  0.3229

Values from the calculation:
D(E_F) = 2.68 states/eV/cell
Crystal system = triclinic
Magnetic moment = 0.000 μB/atom
ρ = 10448 kg/m³


## x
Computed, not measured: crystalline InAg4Hg at its relaxed geometry at the PBE-GGA level of DFT.

abc: 5.6104 5.6104 5.6104
angles: 60.00 60.00 60.00
Element x y z (fractional)
Hg  0.7500  0.7500  0.7500
Ag  0.8751  0.3750  0.3750
Ag  0.3750  0.3750  0.3750
Ag  0.3750  0.3750  0.8751
Ag  0.3750  0.8751  0.3750
In  0.0000  0.0000  0.0000

Values from the calculation:
D(E_F) = 1.90 states/eV/cell
Crystal system = cubic
Magnetic moment = 0.000 μB/atom
ρ = 9932 kg/m³


## y
Computed, not measured: crystalline InAg4Hg at its relaxed geometry at the PBE-GGA level of DFT.

abc: 4.9171 7.2533 9.9212
angles: 120.80 117.64 53.75
Element x y z (fractional)
In  0.1232  0.8732  0.7465
Hg  0.3732  0.6232  0.2463
Ag  0.0292  0.2877  0.0806
Hg  0.6268  0.3768  0.7537
Ag  0.4486  0.2071  0.9194
Ag  0.2108  0.4592  0.4193
In  0.8768  0.1268  0.2535
Ag  0.5514  0.7929  0.0806
Ag  0.7085  0.9601  0.4193
Ag  0.9708  0.7123  0.9194
Ag  0.7892  0.5408  0.5807
Ag  0.2915  0.0399  0.5807

Values from the calculation:
D(E_F) = 3.28 states/eV/cell
Crystal system = monoclinic
Magnetic moment = 0.000 μB/atom
ρ = 10406 kg/m³


Most favorable first, least favorable last: w, x, y


## w
Computed, not measured: crystalline InAgHgTe at its relaxed geometry at the PBE-GGA level of DFT.

abc: 4.6237 4.6237 13.2216
angles: 79.93 79.93 60.00
Element x y z (fractional)
Ag  0.1874  0.1874  0.4378
Te  0.1139  0.1139  0.6584
Ag  0.8126  0.8126  0.5622
Hg  0.6906  0.6906  0.9282
Hg  0.3094  0.3094  0.0718
In  0.5972  0.5972  0.2085
In  0.4028  0.4028  0.7915
Te  0.8861  0.8861  0.3416

Values from the calculation:
D(E_F) = 1.65 states/eV/cell
Crystal system = trigonal
Magnetic moment = 0.000 μB/atom
ρ = 7631 kg/m³


## x
Computed, not measured: crystalline InAgHgTe at its relaxed geometry at the PBE-GGA level of DFT.

abc: 5.3028 5.3028 5.3028
angles: 60.00 60.00 60.00
Element x y z (fractional)
Ag  0.0000  0.0000  0.0000
Te  0.7500  0.7500  0.7500
Hg  0.2500  0.2500  0.2500
In  0.5000  0.5000  0.5000

Values from the calculation:
D(E_F) = 0.37 states/eV/cell
Crystal system = cubic
Magnetic moment = 0.000 μB/atom
ρ = 8676 kg/m³


Most favorable first, least favorable last: w, x


## w
Computed, not measured: crystalline AgHg2Ir2 at its relaxed geometry at the PBE-GGA level of DFT.

abc: 3.6474 3.6474 7.9298
angles: 76.70 76.70 90.00
Element x y z (fractional)
Ir  0.7500  0.2500  0.5000
Ag  0.0000  0.0000  0.0000
Hg  0.5999  0.5999  0.8002
Hg  0.4001  0.4001  0.1998
Ir  0.2500  0.7500  0.5000

Values from the calculation:
D(E_F) = 5.45 states/eV/cell
Crystal system = tetragonal
Magnetic moment = 0.000 μB/atom
ρ = 14872 kg/m³


## x
Computed, not measured: crystalline AgHg2Ir2 at its relaxed geometry at the PBE-GGA level of DFT.

abc: 7.7878 7.7878 3.1033
angles: 90.00 90.00 90.00
Element x y z (fractional)
Ir  0.3827  0.8827  0.0000
Hg  0.8186  0.3186  0.5000
Hg  0.3186  0.1814  0.5000
Hg  0.6814  0.8186  0.5000
Hg  0.1814  0.6814  0.5000
Ag  0.5000  0.5000  0.0000
Ir  0.1173  0.3827  0.0000
Ir  0.8827  0.6173  0.0000
Ag  0.0000  0.0000  0.0000
Ir  0.6173  0.1173  0.0000

Values from the calculation:
D(E_F) = 6.87 states/eV/cell
Crystal system = tetragonal
Magnetic moment = 0.000 μB/atom
ρ = 15766 kg/m³


Most favorable first, least favorable last: x, w


## w
Computed, not measured: crystalline AgHgIr at its relaxed geometry at the PBE-GGA level of DFT.

abc: 4.4763 4.4763 4.4763
angles: 60.00 60.00 60.00
Element x y z (fractional)
Ag  0.0000  0.0000  0.0000
Hg  0.5000  0.5000  0.5000
Ir  0.7500  0.7500  0.7500

Values from the calculation:
D(E_F) = 1.40 states/eV/cell
Crystal system = cubic
Magnetic moment = 0.000 μB/atom
ρ = 13109 kg/m³


## x
Computed, not measured: crystalline AgHgIr at its relaxed geometry at the PBE-GGA level of DFT.

abc: 7.7102 7.4578 2.8683
angles: 84.10 74.18 21.72
Element x y z (fractional)
Ir  0.6656  0.6656  0.3344
Hg  0.3300  0.3300  0.6700
Ag  0.0044  0.0044  0.9956

Values from the calculation:
D(E_F) = 2.65 states/eV/cell
Crystal system = orthorhombic
Magnetic moment = 0.000 μB/atom
ρ = 15621 kg/m³


Most favorable first, least favorable last: x, w


## w
Computed, not measured: crystalline AgHgIr at its relaxed geometry at the PBE-GGA level of DFT.

abc: 6.5276 6.5276 6.5276
angles: 154.10 154.10 36.96
Element x y z (fractional)
Ag  0.0068  0.0068  0.0000
Hg  0.3280  0.3280  0.0000
Ir  0.6651  0.6651  0.0000

Values from the calculation:
D(E_F) = 2.91 states/eV/cell
Crystal system = tetragonal
Magnetic moment = 0.000 μB/atom
ρ = 15687 kg/m³


## x
Computed, not measured: crystalline AgHgIr at its relaxed geometry at the PBE-GGA level of DFT.

abc: 2.9225 2.9225 7.1168
angles: 90.00 90.00 120.00
Element x y z (fractional)
Hg  0.6667  0.3333  0.3396
Ag  0.0000  0.0000  0.9913
Ir  0.3333  0.6667  0.6691

Values from the calculation:
D(E_F) = 3.18 states/eV/cell
Crystal system = trigonal
Magnetic moment = 0.000 μB/atom
ρ = 15794 kg/m³


Most favorable first, least favorable last: x, w


## w
Computed, not measured: crystalline La2AgHgIr at its relaxed geometry at the PBE-GGA level of DFT.

abc: 5.4537 5.4537 5.2471
angles: 90.00 90.00 90.00
Element x y z (fractional)
Hg  0.5000  0.5000  0.5000
La  0.5000  0.0000  0.0000
Ir  0.0000  0.0000  0.0000
Ag  0.0000  0.0000  0.5000
La  0.0000  0.5000  0.0000

Values from the calculation:
D(E_F) = 2.97 states/eV/cell
Crystal system = tetragonal
Magnetic moment = 0.000 μB/atom
ρ = 8283 kg/m³


## x
Computed, not measured: crystalline La2AgHgIr at its relaxed geometry at the PBE-GGA level of DFT.

abc: 4.2606 8.2303 8.1515
angles: 111.55 90.00 90.00
Element x y z (fractional)
Hg  0.2500  0.6900  0.3177
La  0.2500  0.1272  0.3503
La  0.7500  0.7221  0.0134
Ir  0.2500  0.8913  0.8955
Hg  0.7500  0.3100  0.6823
La  0.2500  0.2779  0.9866
La  0.7500  0.8728  0.6497
Ir  0.7500  0.1087  0.1045
Ag  0.2500  0.5475  0.6421
Ag  0.7500  0.4525  0.3579

Values from the calculation:
D(E_F) = 7.06 states/eV/cell
Crystal system = monoclinic
Magnetic moment = 0.000 μB/atom
ρ = 9725 kg/m³


Most favorable first, least favorable last: x, w


## w
Computed, not measured: crystalline KAgHg at its relaxed geometry at the PBE-GGA level of DFT.

abc: 4.7970 6.5647 6.8249
angles: 73.20 69.50 90.30
Element x y z (fractional)
Ag  0.9890  0.9340  0.2953
Hg  0.6107  0.1133  0.0532
K  0.3167  0.1108  0.6374
Hg  0.8086  0.5148  0.6554
Ag  0.4304  0.6940  0.4133
K  0.1026  0.5175  0.0710

Values from the calculation:
D(E_F) = 1.74 states/eV/cell
Crystal system = triclinic
Magnetic moment = 0.000 μB/atom
ρ = 6032 kg/m³


## x
Computed, not measured: crystalline KAgHg at its relaxed geometry at the PBE-GGA level of DFT.

abc: 6.5682 6.5682 6.5682
angles: 145.86 145.58 49.26
Element x y z (fractional)
K  0.6672  0.6672  0.0000
Hg  0.3669  0.3669  0.0000
Ag  0.9659  0.9659  0.0000

Values from the calculation:
D(E_F) = 0.93 states/eV/cell
Crystal system = orthorhombic
Magnetic moment = 0.000 μB/atom
ρ = 6450 kg/m³


Most favorable first, least favorable last: w, x


## w
Computed, not measured: crystalline KAg2Hg at its relaxed geometry at the PBE-GGA level of DFT.

abc: 10.6438 10.6438 10.6438
angles: 17.62 17.62 17.62
Element x y z (fractional)
Hg  0.2500  0.2500  0.2500
Ag  0.5072  0.5072  0.5072
Ag  0.9928  0.9928  0.9928
K  0.7500  0.7500  0.7500

Values from the calculation:
D(E_F) = 2.65 states/eV/cell
Crystal system = trigonal
Magnetic moment = 0.000 μB/atom
ρ = 7838 kg/m³


## x
Computed, not measured: crystalline KAg2Hg at its relaxed geometry at the PBE-GGA level of DFT.

abc: 4.6188 4.6188 4.7898
angles: 90.00 90.00 89.99
Element x y z (fractional)
K  0.0000  0.5000  0.5000
Ag  0.0000  0.0000  0.0000
Hg  0.5000  0.0000  0.5000
Ag  0.5000  0.5000  0.0000

Values from the calculation:
D(E_F) = 1.28 states/eV/cell
Crystal system = tetragonal
Magnetic moment = 0.000 μB/atom
ρ = 7401 kg/m³


Most favorable first, least favorable last: x, w